<A>
A relaxed structure of Tb5Nd3Er4. Source: the Alexandria database, functional PBE.

Structure (extended XYZ):
```
12
Lattice="6.888 -0.416 1.841 -5.177 7.505 -6.664 4.065 -3.907 11.572" Properties=species:S:1:pos:R:3 pbc="T T T"
Er 0.098 1.778 0.011
Tb 5.476 -2.161 6.707
Er 5.677 1.405 6.738
Nd 4.519 -0.284 3.821
Nd 1.256 3.466 2.928
Tb 2.564 3.447 -1.949
Tb 2.232 1.617 5.819
Tb 3.212 -0.265 8.698
Er 4.718 3.271 3.862
Er 1.058 -0.088 2.887
Nd 2.033 -1.954 5.786
Tb 3.544 1.566 0.931
```

Values from the calculation:
The space-group type is P-1 (2). For the volume, the calculation gives 386.3 Å³/cell.



<B>
A relaxed structure of Tb5Nd3Er4. Source: the Alexandria database, functional PBE.

Structure (extended XYZ):
```
12
Lattice="-0.751 -3.413 4.782 -7.068 -4.732 -0.818 7.362 -6.251 0.363" Properties=species:S:1:pos:R:3 pbc="T T T"
Tb 2.112 -10.799 3.629
Nd 2.796 -7.671 2.300
Er -1.779 -4.349 3.953
Nd -3.252 -6.724 2.027
Tb -1.284 -11.645 2.492
Tb -2.568 -3.597 0.698
Er 4.165 -4.675 0.985
Er -4.621 -9.721 3.341
Tb 0.828 -2.751 1.835
Tb -0.228 -7.198 2.163
Er 1.323 -10.046 0.374
Nd 0.147 -5.491 -0.228
```

Values from the calculation:
The space-group type is C2/m (12). For the volume, the calculation gives 394.8 Å³/cell.



Which one sits at the top of the stability order? <A> does.



<A>
A relaxed structure of Tb2NdEr. Source: the Alexandria database, functional PBE.

Structure (extended XYZ):
```
8
Lattice="5.063 0.000 0.000 0.000 10.107 0.000 0.000 0.000 5.063" Properties=species:S:1:pos:R:3 pbc="T T T"
Er 1.266 7.580 3.799
Tb 3.797 5.053 3.797
Nd 3.797 7.580 1.267
Tb 1.266 10.107 1.265
Er 3.797 2.527 1.264
Tb 3.797 0.000 3.797
Nd 1.266 2.527 3.795
Tb 1.266 5.054 1.265
```

Values from the calculation:
The space-group type is I4/mmm (139). For the volume, the calculation gives 259.1 Å³/cell.



<B>
A relaxed structure of Tb2NdEr. Source: the Alexandria database, functional PBE.

Structure (extended XYZ):
```
4
Lattice="-0.537 -3.223 -1.514 -0.569 -2.891 2.072 -11.740 -0.007 -0.104" Properties=species:S:1:pos:R:3 pbc="T T T"
Tb -3.279 -1.518 0.112
Tb -8.837 -0.526 -0.030
Nd -0.742 -4.075 0.372
Er -6.412 -3.063 0.227
```

Values from the calculation:
The space-group type is R3m (160). For the volume, the calculation gives 129.8 Å³/cell.



Which one sits at the top of the stability order? <B> does.



<A>
A relaxed structure of Tb2NdEr. Source: the Alexandria database, functional PBE.

Structure (extended XYZ):
```
4
Lattice="-0.965 -2.794 2.014 2.478 -2.288 1.189 1.859 4.770 10.686" Properties=species:S:1:pos:R:3 pbc="T T T"
Tb 0.836 -0.111 3.423
Nd 1.686 -0.156 6.944
Tb 2.536 -0.201 10.465
Er 0.000 0.000 0.000
```

Values from the calculation:
The space-group type is R-3m (166). For the volume, the calculation gives 129.3 Å³/cell.



<B>
A relaxed structure of Tb2NdEr. Source: the Alexandria database, functional PBE.

Structure (extended XYZ):
```
4
Lattice="-4.047 0.965 -3.897 -4.746 -3.157 -0.022 -4.970 2.314 1.564" Properties=species:S:1:pos:R:3 pbc="T T T"
Tb -10.322 0.091 -1.766
Tb -3.441 0.030 -0.589
Nd -6.881 0.060 -1.177
Er 0.000 0.000 0.000
```

Values from the calculation:
The space-group type is Fm-3m (225). For the volume, the calculation gives 131.0 Å³/cell.



Which one sits at the top of the stability order? <A> does.



<A>
A relaxed structure of Tb4Nd2Er. Source: the Alexandria database, functional PBE.

Structure (extended XYZ):
```
7
Lattice="3.584 0.000 0.000 1.792 3.104 0.000 1.792 1.035 20.475" Properties=species:S:1:pos:R:3 pbc="T T T"
Nd 3.584 2.069 14.645
Tb 1.792 1.035 11.676
Nd 3.584 2.069 5.830
Tb 5.377 3.104 17.618
Er 0.000 0.000 0.000
Tb 1.792 1.035 2.857
Tb 5.377 3.104 8.799
```

Values from the calculation:
The space-group type is R-3m (166). For the volume, the calculation gives 227.8 Å³/cell.



<B>
A relaxed structure of Tb4Nd2Er. Source: the Alexandria database, functional PBE.

Structure (extended XYZ):
```
28
Lattice="-0.481 3.212 -1.816 -10.846 3.046 8.258 13.931 7.319 9.252" Properties=species:S:1:pos:R:3 pbc="T T T"
Tb 2.918 4.167 6.593
Nd -1.098 9.078 12.531
Tb 10.615 7.425 10.317
Tb 5.056 10.886 10.286
Tb -2.350 3.021 2.153
Er 8.507 8.842 13.380
Nd 1.793 11.772 12.717
Tb 8.230 5.562 7.655
Er 1.302 6.789 7.847
Tb 4.953 10.556 13.540
Er -3.881 6.705 12.883
Nd 3.701 4.499 3.161
Tb 5.350 6.283 5.879
Tb -0.315 9.410 9.100
Nd 0.810 1.805 2.976
Nd 7.455 8.645 9.498
Nd -4.851 4.932 6.195
Er 2.844 11.971 16.601
Tb -8.119 5.821 8.630
Tb 2.565 8.690 10.874
Tb -2.452 2.691 5.407
Tb -5.627 8.014 8.038
Tb -2.747 7.294 9.813
Nd 4.566 5.951 9.311
Tb -8.012 6.152 5.376
Nd -1.962 7.626 6.382
Tb 0.038 4.887 4.819
Tb 10.722 7.756 7.062
```

Values from the calculation:
The space-group type is C2/m (12). For the volume, the calculation gives 928.5 Å³/cell.



Which one sits at the top of the stability order? <A> does.